An optimized crystal structure of HoErCr2O8. Source: the Alexandria database, functional PBE+U.

Its calculated volume is 321.9 Å³/cell. As for the total energy: -7.6528 eV per atom.

The space group is I-4m2 (No. 119) and the conventional cell measures 7.168, 7.168 and 6.265 Å, with angles of 90.00, 90.00 and 90.00 degrees. Symmetry generates all atoms from Ho at (0.000, 0.000, 0.000), Er at (0.000, 0.500, 0.250), Cr at (0.000, 0.000, 0.500), Cr at (0.000, 0.500, 0.750), O at (0.000, 0.185, 0.325) and O at (0.000, 0.315, 0.926).